No. 1
Entry from the Alexandria database: crystalline CsLi4S2Br at its relaxed geometry (GGA-PBE).

Results
N(E_F)   0.00 states/eV/cell
VASP energy   -3.60 eV per atom
E_form (uncorrected)   -1296 meV per atom

Structure (CIF):
```
data_CsLi4S2Br
_cell_length_a 4.2643
_cell_length_b 4.2643
_cell_length_c 10.2639
_cell_angle_alpha 90.00
_cell_angle_beta 90.00
_cell_angle_gamma 90.00
_symmetry_space_group_name_H-M 'P 4/m m m'
_symmetry_Int_Tables_number 123
_symmetry_space_group_name_Hall '-P 4 2'
loop_
_atom_site_label
_atom_site_fract_x
_atom_site_fract_y
_atom_site_fract_z
Cs1 0.0000 0.0000 0.0000
Li1 0.0000 0.5000 0.3254
S1 0.5000 0.5000 0.2285
Br1 0.0000 0.0000 0.5000
```



No. 2
Entry from the Alexandria database: crystalline CsLi2SbBr6 at its relaxed geometry (GGA-PBE).

Results
N(E_F)   0.00 states/eV/cell
VASP energy   -3.07 eV per atom
E_form (uncorrected)   -1184 meV per atom

Structure (CIF):
```
data_CsLi2SbBr6
_cell_length_a 15.4705
_cell_length_b 13.3083
_cell_length_c 8.5931
_cell_angle_alpha 90.00
_cell_angle_beta 107.52
_cell_angle_gamma 90.00
_symmetry_space_group_name_H-M 'C 1 2/c 1'
_symmetry_Int_Tables_number 15
loop_
_symmetry_equiv_pos_as_xyz
'x,y,z'
'-x,-y,-z'
'-x,y,-z+1/2'
'x,-y,z+1/2'
'x+1/2,y+1/2,z'
'-x+1/2,-y+1/2,-z'
'-x+1/2,y+1/2,-z+1/2'
'x+1/2,-y+1/2,z+1/2'
loop_
_atom_site_label
_atom_site_fract_x
_atom_site_fract_y
_atom_site_fract_z
Cs1 0.0000 0.1160 0.2500
Li1 0.0745 0.4326 0.1494
Sb1 0.0000 0.2690 0.7500
Br1 0.0989 0.4257 0.4639
Br2 0.1045 0.1359 0.6775
Br3 0.1276 0.2668 0.0609
```



No. 3
Entry from the Alexandria database: crystalline Cs2LiSbBr6 at its relaxed geometry (GGA-PBE).

Results
N(E_F)   0.00 states/eV/cell
VASP energy   -3.08 eV per atom
E_form (uncorrected)   -1298 meV per atom
Energy above the lowest structure with this stoichiometry   8 meV per atom

Structure (CIF):
```
data_Cs2LiSbBr6
_cell_length_a 11.2509
_cell_length_b 11.2509
_cell_length_c 11.2509
_cell_angle_alpha 90.00
_cell_angle_beta 90.00
_cell_angle_gamma 90.00
_symmetry_space_group_name_H-M 'F m -3 m'
_symmetry_Int_Tables_number 225
_symmetry_space_group_name_Hall '-F 4 2 3'
loop_
_atom_site_label
_atom_site_fract_x
_atom_site_fract_y
_atom_site_fract_z
Cs1 0.2500 0.2500 0.2500
Li1 0.0000 0.0000 0.0000
Sb1 0.0000 0.0000 0.5000
Br1 0.0000 0.0000 0.2489
```



No. 4
Entry from the Alexandria database: crystalline Cs2LiSbBr6 at its relaxed geometry (GGA-PBE).

Results
N(E_F)   0.00 states/eV/cell
VASP energy   -3.08 eV per atom
E_form (uncorrected)   -1306 meV per atom
Energy above the lowest structure with this stoichiometry   0 meV per atom

Structure (CIF):
```
data_Cs2LiSbBr6
_cell_length_a 7.9482
_cell_length_b 7.9482
_cell_length_c 39.9520
_cell_angle_alpha 90.00
_cell_angle_beta 90.00
_cell_angle_gamma 120.00
_symmetry_space_group_name_H-M 'R -3 m'
_symmetry_Int_Tables_number 166
_symmetry_space_group_name_Hall '-R 3 2"'
loop_
_atom_site_label
_atom_site_fract_x
_atom_site_fract_y
_atom_site_fract_z
Cs1 0.0000 0.0000 0.1236
Cs2 0.0000 0.0000 0.2942
Li1 0.0000 0.0000 0.4152
Sb1 0.0000 0.0000 0.0000
Sb2 0.0000 0.0000 0.5000
Br1 0.0009 0.5004 0.2922
Br2 0.0090 0.5045 0.1235
```



No. 5
Entry from the Alexandria database: crystalline Cs3Li2ScBr9 at its relaxed geometry (GGA-PBE).

Results
N(E_F)   17.58 states/eV/cell
VASP energy   -3.42 eV per atom
E_form (uncorrected)   -1566 meV per atom

Structure (CIF):
```
data_Cs3Li2ScBr9
_cell_length_a 7.7539
_cell_length_b 7.7539
_cell_length_c 9.6418
_cell_angle_alpha 90.00
_cell_angle_beta 90.00
_cell_angle_gamma 120.00
_symmetry_space_group_name_H-M 'P -3 m 1'
_symmetry_Int_Tables_number 164
_symmetry_space_group_name_Hall '-P 3 2"'
loop_
_atom_site_label
_atom_site_fract_x
_atom_site_fract_y
_atom_site_fract_z
Cs1 0.0000 0.0000 0.0000
Cs2 0.3333 0.6667 0.6718
Li1 0.3333 0.6667 0.1398
Sc1 0.0000 0.0000 0.5000
Br1 0.0000 0.5000 0.0000
Br2 0.1623 0.3245 0.3407
```



No. 6
Entry from the Alexandria database: crystalline Cs2Li2ScBr6 at its relaxed geometry (GGA-PBE).

Results
N(E_F)   7.29 states/eV/cell
VASP energy   -3.55 eV per atom
E_form (uncorrected)   -1561 meV per atom

Structure (CIF):
```
data_Cs2Li2ScBr6
_cell_length_a 13.5066
_cell_length_b 7.9343
_cell_length_c 8.1381
_cell_angle_alpha 90.00
_cell_angle_beta 115.22
_cell_angle_gamma 90.00
_symmetry_space_group_name_H-M 'C 1 2/m 1'
_symmetry_Int_Tables_number 12
loop_
_symmetry_equiv_pos_as_xyz
'x,y,z'
'-x,-y,-z'
'-x,y,-z'
'x,-y,z'
'x+1/2,y+1/2,z'
'-x+1/2,-y+1/2,-z'
'-x+1/2,y+1/2,-z'
'x+1/2,-y+1/2,z'
loop_
_atom_site_label
_atom_site_fract_x
_atom_site_fract_y
_atom_site_fract_z
Cs1 0.2083 0.0000 0.1757
Li1 0.0770 0.5000 0.2785
Sc1 0.0000 0.0000 0.5000
Br1 0.0295 0.2430 0.7641
Br2 0.2296 0.0000 0.6438
```



No. 7
Entry from the Alexandria database: crystalline CsLi2ScBr6 at its relaxed geometry (GGA-PBE).

Results
N(E_F)   0.00 states/eV/cell
VASP energy   -3.76 eV per atom
E_form (uncorrected)   -1652 meV per atom

Structure (CIF):
```
data_CsLi2ScBr6
_cell_length_a 7.3569
_cell_length_b 7.6263
_cell_length_c 7.8502
_cell_angle_alpha 105.39
_cell_angle_beta 102.84
_cell_angle_gamma 117.10
_symmetry_space_group_name_H-M 'P 1'
_symmetry_Int_Tables_number 1
loop_
_symmetry_equiv_pos_as_xyz
'x,y,z'
loop_
_atom_site_label
_atom_site_fract_x
_atom_site_fract_y
_atom_site_fract_z
Cs1 0.0000 0.0000 0.0000
Li1 0.2462 0.5690 0.7217
Li2 0.5921 0.7179 0.3325
Sc1 0.4537 0.2022 0.6496
Br1 0.0076 0.9792 0.5220
Br2 0.3998 0.4585 0.4760
Br3 0.4186 0.9426 0.3349
Br4 0.4692 0.4958 0.9663
Br5 0.4718 0.9860 0.8550
Br6 0.8871 0.4528 0.7782
```



No. 8
Entry from the Alexandria database: crystalline Cs3Li2ScBr8 at its relaxed geometry (GGA-PBE).

Results
N(E_F)   0.00 states/eV/cell
VASP energy   -3.54 eV per atom
E_form (uncorrected)   -1680 meV per atom

Structure (CIF):
```
data_Cs3Li2ScBr8
_cell_length_a 7.7446
_cell_length_b 7.7446
_cell_length_c 10.1345
_cell_angle_alpha 90.00
_cell_angle_beta 90.00
_cell_angle_gamma 120.00
_symmetry_space_group_name_H-M 'P -3 m 1'
_symmetry_Int_Tables_number 164
_symmetry_space_group_name_Hall '-P 3 2"'
loop_
_atom_site_label
_atom_site_fract_x
_atom_site_fract_y
_atom_site_fract_z
Cs1 0.0000 0.0000 0.0000
Cs2 0.3333 0.6667 0.6522
Li1 0.3333 0.6667 0.2228
Sc1 0.0000 0.0000 0.5000
Br1 0.1604 0.3208 0.3443
Br2 0.3333 0.6667 0.9900
```



No. 9
Entry from the Alexandria database: crystalline CsLiSc2Br8 at its relaxed geometry (GGA-PBE).

Results
N(E_F)   0.00 states/eV/cell
VASP energy   -4.04 eV per atom
E_form (uncorrected)   -1639 meV per atom

Structure (CIF):
```
data_CsLiSc2Br8
_cell_length_a 7.0902
_cell_length_b 7.0902
_cell_length_c 30.3711
_cell_angle_alpha 90.00
_cell_angle_beta 90.00
_cell_angle_gamma 120.00
_symmetry_space_group_name_H-M 'R -3'
_symmetry_Int_Tables_number 148
_symmetry_space_group_name_Hall '-R 3'
loop_
_atom_site_label
_atom_site_fract_x
_atom_site_fract_y
_atom_site_fract_z
Cs1 0.0000 0.0000 0.0000
Li1 0.0000 0.0000 0.5000
Sc1 0.0000 0.0000 0.2426
Br1 0.0000 0.0000 0.3246
Br2 0.0047 0.6796 0.5546
```



No. 10
Entry from the Alexandria database: crystalline Cs2LiScBr6 at its relaxed geometry (GGA-PBE).

Results
N(E_F)   0.00 states/eV/cell
VASP energy   -3.76 eV per atom
E_form (uncorrected)   -1757 meV per atom

Structure (CIF):
```
data_Cs2LiScBr6
_cell_length_a 7.7970
_cell_length_b 7.7970
_cell_length_c 38.7524
_cell_angle_alpha 90.00
_cell_angle_beta 90.00
_cell_angle_gamma 120.00
_symmetry_space_group_name_H-M 'R -3 m'
_symmetry_Int_Tables_number 166
_symmetry_space_group_name_Hall '-R 3 2"'
loop_
_atom_site_label
_atom_site_fract_x
_atom_site_fract_y
_atom_site_fract_z
Cs1 0.0000 0.0000 0.1243
Cs2 0.0000 0.0000 0.2912
Li1 0.0000 0.0000 0.0000
Li2 0.0000 0.0000 0.5000
Sc1 0.0000 0.0000 0.4140
Br1 0.0070 0.5035 0.2917
Br2 0.0175 0.5087 0.1222
```



No. 11
Entry from the Alexandria database: crystalline Cs2LiSeBr6 at its relaxed geometry (GGA-PBE).

Results
N(E_F)   11.66 states/eV/cell
VASP energy   -2.72 eV per atom
E_form (uncorrected)   -1006 meV per atom
Energy above the lowest structure with this stoichiometry   0 meV per atom

Structure (CIF):
```
data_Cs2LiSeBr6
_cell_length_a 7.8069
_cell_length_b 7.8069
_cell_length_c 11.1333
_cell_angle_alpha 90.00
_cell_angle_beta 90.00
_cell_angle_gamma 90.00
_symmetry_space_group_name_H-M 'I 4/m m m'
_symmetry_Int_Tables_number 139
_symmetry_space_group_name_Hall '-I 4 2'
loop_
_atom_site_label
_atom_site_fract_x
_atom_site_fract_y
_atom_site_fract_z
Cs1 0.0000 0.5000 0.2500
Li1 0.0000 0.0000 0.0000
Se1 0.0000 0.0000 0.5000
Br1 0.0000 0.0000 0.2676
Br2 0.2439 0.2439 0.0000
```



No. 12
Entry from the Alexandria database: crystalline CsLiSeBr2 at its relaxed geometry (GGA-PBE).

Results
N(E_F)   1.87 states/eV/cell
VASP energy   -2.80 eV per atom
E_form (uncorrected)   -877 meV per atom

Structure (CIF):
```
data_CsLiSeBr2
_cell_length_a 5.6216
_cell_length_b 5.6216
_cell_length_c 5.0829
_cell_angle_alpha 90.00
_cell_angle_beta 90.00
_cell_angle_gamma 90.00
_symmetry_space_group_name_H-M 'P 4/m m m'
_symmetry_Int_Tables_number 123
_symmetry_space_group_name_Hall '-P 4 2'
loop_
_atom_site_label
_atom_site_fract_x
_atom_site_fract_y
_atom_site_fract_z
Cs1 0.0000 0.0000 0.0000
Li1 0.5000 0.5000 0.5000
Se1 0.5000 0.5000 0.0000
Br1 0.0000 0.5000 0.5000
```



> Which value of E_form (uncorrected) does entry 7 give?

-1652 meV per atom



Please write out number 5 again, unchanged.
Entry from the Alexandria database: crystalline Cs3Li2ScBr9 at its relaxed geometry (GGA-PBE).

Results
N(E_F)   17.58 states/eV/cell
VASP energy   -3.42 eV per atom
E_form (uncorrected)   -1566 meV per atom

Structure (CIF):
```
data_Cs3Li2ScBr9
_cell_length_a 7.7539
_cell_length_b 7.7539
_cell_length_c 9.6418
_cell_angle_alpha 90.00
_cell_angle_beta 90.00
_cell_angle_gamma 120.00
_symmetry_space_group_name_H-M 'P -3 m 1'
_symmetry_Int_Tables_number 164
_symmetry_space_group_name_Hall '-P 3 2"'
loop_
_atom_site_label
_atom_site_fract_x
_atom_site_fract_y
_atom_site_fract_z
Cs1 0.0000 0.0000 0.0000
Cs2 0.3333 0.6667 0.6718
Li1 0.3333 0.6667 0.1398
Sc1 0.0000 0.0000 0.5000
Br1 0.0000 0.5000 0.0000
Br2 0.1623 0.3245 0.3407
```



> Among the records above, which one has the lowest E_form (uncorrected)?

Cs2LiScBr6